A relaxed structure of PmBiPd14. Source: Alexandria, functional GGA-PBE.

Cell and atoms, written as extended XYZ:
```
16
Lattice="5.788 -0.012 0.000 0.012 5.788 0.000 0.000 0.000 7.965" Properties=species:S:1:pos:R:3 pbc="T T T"
Pm 2.175 2.166 3.983
Bi 5.076 5.054 3.983
Pd 5.076 5.054 0.000
Pd 2.175 2.166 0.000
Pd 5.069 2.160 3.983
Pd 5.069 2.160 0.000
Pd 2.181 5.060 3.983
Pd 2.181 5.060 0.000
Pd 3.626 0.710 1.907
Pd 3.626 0.710 6.058
Pd 0.725 3.623 1.907
Pd 0.725 3.623 6.058
Pd 3.631 3.616 1.908
Pd 3.631 3.616 6.058
Pd 0.719 0.716 1.908
Pd 0.719 0.716 6.058
```

Properties
Space-group type   P4/mmm
DOS at the Fermi energy   1.670 states/eV/atom

---

A relaxed structure of Pm2BiPd2. Source: Alexandria, functional GGA-PBE.

Cell and atoms, written as extended XYZ:
```
10
Lattice="-0.236 3.189 2.225 2.420 -4.197 6.272 7.531 1.762 -1.726" Properties=species:S:1:pos:R:3 pbc="T T T"
Pm 5.380 2.052 1.041
Pm 7.733 0.221 3.915
Pm 4.335 -1.297 5.730
Pm 1.982 0.534 2.856
Bi 0.000 0.000 0.000
Bi 4.975 -1.217 2.273
Pd 7.516 -0.037 0.850
Pd 6.814 -2.583 4.424
Pd 2.434 -2.398 3.695
Pd 3.137 0.148 0.121
```

Properties
Space-group type   P4/mbm
DOS at the Fermi energy   0.680 states/eV/atom

---

A relaxed structure of Pm3Bi4Pd3. Source: Alexandria, functional GGA-PBE.

Cell and atoms, written as extended XYZ:
```
20
Lattice="-8.466 -2.029 -1.002 4.683 -3.779 -6.370 2.794 -2.890 7.787" Properties=species:S:1:pos:R:3 pbc="T T T"
Pm 0.666 -6.630 1.409
Pm -4.490 -4.526 2.397
Pm 1.396 -2.393 -0.567
Pm -0.493 -3.400 4.668
Pm 2.330 -4.175 -4.851
Pm -2.375 -4.967 -1.813
Bi 0.929 -0.961 2.590
Bi -1.278 -3.716 1.274
Bi -4.398 -2.470 -0.432
Bi 2.327 -2.406 6.483
Bi -4.707 -3.578 -4.019
Bi 1.063 -5.605 -1.912
Bi -0.474 -2.564 -3.518
Bi 3.573 -4.790 0.777
Pd 3.502 -4.171 -1.983
Pd -1.655 -2.067 -0.995
Pd -0.495 -5.297 -4.254
Pd -2.385 -6.304 0.982
Pd 1.386 -3.730 2.227
Pd -3.319 -4.522 5.266
```

Properties
Space-group type   I-43d
DOS at the Fermi energy   0.838 states/eV/atom

---

A relaxed structure of Pm2BiPd. Source: Alexandria, functional GGA-PBE.

Cell and atoms, written as extended XYZ:
```
4
Lattice="-2.245 -2.096 2.087 2.730 -0.461 2.474 -2.404 6.401 3.844" Properties=species:S:1:pos:R:3 pbc="T T T"
Bi -0.959 1.922 4.202
Pd 0.243 -1.278 2.280
Pm -1.875 4.994 2.999
Pm -0.528 1.407 0.845
```

Properties
Space-group type   P4/mmm
Energy above the lowest structure with this stoichiometry   0.0000 eV/atom
DOS at the Fermi energy   0.893 states/eV/atom

---

Number 1: E_tot -0.196 hartree per atom, volume 16.68 Å³ per atom, energy of formation from the pure elements -0.24 eV per atom. Number 2: E_tot -0.206 hartree per atom, volume 24.47 Å³ per atom, energy of formation from the pure elements -0.86 eV per atom. Number 3: E_tot -0.196 hartree per atom, volume 25.90 Å³ per atom, energy of formation from the pure elements -0.79 eV per atom. Number 4: E_tot -0.196 hartree per atom, volume 27.03 Å³ per atom, energy of formation from the pure elements -0.69 eV per atom.